[1]
DFT (PBE) results for crystalline PrAl2SiOs2 at its relaxed geometry.

Cell and atoms, written as POSCAR:
```
PrAl2SiOs2
1.0
4.464 0.000 0.000
0.000 4.464 0.000
0.000 0.000 5.764
Pr Al Si Os
1 2 1 2
Direct
0.000 0.000 0.000
0.500 0.500 0.239
0.500 0.500 0.761
0.000 0.000 0.500
0.000 0.500 0.500
0.500 0.000 0.500
```

Properties
Volume, Å³ per cell: 114.9
Space group: No. 123
Final energy, eV for the cell shown: -41.61
Raw formation energy, eV/atom: -0.24
Magnetic moment, μB per atom: 0.000

***

[2]
DFT (PBE) results for crystalline Sc4GePSe2 at its relaxed geometry.

Cell and atoms, written as POSCAR:
```
Sc4GePSe2
1.0
6.662 0.000 0.000
0.000 3.843 0.000
-2.209 0.000 6.347
Sc Ge P Se
4 1 1 2
Direct
0.241 0.000 0.230
0.252 0.500 0.765
0.748 0.500 0.235
0.759 0.000 0.770
0.500 0.000 0.000
0.000 0.500 0.000
0.000 0.000 0.500
0.500 0.500 0.500
```

Properties
Volume, Å³ per cell: 162.5
Space group: No. 10
Final energy, eV for the cell shown: -53.90
Raw formation energy, eV/atom: -1.45
Magnetic moment, μB per atom: 0.000

***

[3]
DFT (PBE) results for crystalline ErPu3As4 at its relaxed geometry.

Cell and atoms, written as POSCAR:
```
ErPu3As4
1.0
5.826 0.000 0.000
0.000 5.826 0.000
0.000 0.000 5.826
Er Pu As
1 3 4
Direct
0.000 0.000 0.000
0.000 0.500 0.500
0.500 0.000 0.500
0.500 0.500 0.000
0.000 0.000 0.500
0.000 0.500 0.000
0.500 0.000 0.000
0.500 0.500 0.500
```

Properties
Volume, Å³ per cell: 197.7
Space group: No. 221
Final energy, eV for the cell shown: -75.26
Magnetic moment, μB per atom: 1.860